The following is a PBE calculation of a relaxed structure of AcPr2Tl3, from Alexandria.

a = 3.9762 Å, b = 3.9762 Å, c = 12.1512 Å
α = 90.00°, β = 90.00°, γ = 90.00°
With the nearest neighbours (Å) after each atom.
Sites, in units of the cell vectors:
Ac: 0.5000 0.5000 0.5000  8 Tl 3.57, 4 Ac 3.98
Pr: 0.5000 0.5000 0.8394  8 Tl 3.40-3.42
Pr: 0.5000 0.5000 0.1606  8 Tl 3.40-3.42
Tl: 0.0000 0.0000 0.0000  8 Pr 3.42
Tl: 0.0000 0.0000 0.6816  4 Pr 3.40, 4 Ac 3.57
Tl: 0.0000 0.0000 0.3184  4 Pr 3.40, 4 Ac 3.57

Properties
* total magnetization: 0.0 μB per cell
* electronic total energy: -3.84 eV/atom
* N(E_F): 5.856 states/eV/cell

The following is a PBE calculation of a relaxed structure of Ac2Pr2Tl7, from Alexandria.

a = 7.2132 Å, b = 8.0924 Å, c = 7.2132 Å
α = 90.00°, β = 103.93°, γ = 90.00°
With the nearest neighbours (Å) after each atom.
Sites, in units of the cell vectors:
Ac: 0.6958 0.0000 0.3042  7 Tl 3.35-3.46
Ac: 0.3042 0.0000 0.6958  7 Tl 3.35-3.46
Pr: 0.8151 0.5000 0.8151  6 Tl 3.20-3.30, 1 Pr 3.29
Pr: 0.1849 0.5000 0.1849  6 Tl 3.20-3.30, 1 Pr 3.29
Tl: 0.9998 0.3069 0.5003  1 Tl 3.13, 2 Pr 3.29-3.30, 2 Ac 3.39
Tl: 0.5003 0.6931 0.9998  1 Tl 3.13, 2 Pr 3.29-3.30, 2 Ac 3.39
Tl: 0.0002 0.6931 0.4997  1 Tl 3.13, 2 Pr 3.29-3.30, 2 Ac 3.39
Tl: 0.4997 0.3069 0.0002  1 Tl 3.13, 2 Pr 3.29-3.30, 2 Ac 3.39
Tl: 0.0000 0.0000 0.0000  2 Ac 3.46
Tl: 0.5002 0.6909 0.4998  1 Tl 3.09, 2 Pr 3.20, 2 Ac 3.35
Tl: 0.4998 0.3091 0.5002  1 Tl 3.09, 2 Pr 3.20, 2 Ac 3.35

Properties
* total magnetization: 0.0 μB per cell
* electronic total energy: -3.10 eV/atom
* N(E_F): 9.424 states/eV/cell

The following is a PBE calculation of a relaxed structure of Ac5PrTl8, from Alexandria.

a = 8.6286 Å, b = 8.6286 Å, c = 8.6286 Å
α = 108.90°, β = 110.63°, γ = 108.90°
With the nearest neighbours (Å) after each atom.
Sites, in units of the cell vectors:
Ac: 0.9890 0.3559 0.1122  8 Tl 3.40-3.56
Ac: 0.8878 0.8768 0.2437  8 Tl 3.40-3.56
Ac: 0.7563 0.6441 0.6331  8 Tl 3.40-3.56
Ac: 0.5000 0.0000 0.5000  8 Tl 3.48
Ac: 0.3669 0.1232 0.0110  8 Tl 3.40-3.56
Pr: 0.2500 0.5000 0.7500  8 Tl 3.31
Tl: 0.1240 0.7240 0.0302  1 Pr 3.31, 5 Ac 3.40-3.50, 1 Tl 3.48
Tl: 0.9698 0.0938 0.6939  1 Pr 3.31, 5 Ac 3.40-3.50, 1 Tl 3.48
Tl: 0.8046 0.2626 0.3926  1 Pr 3.31, 2 Tl 3.48-3.59, 5 Ac 3.48-3.56
Tl: 0.6074 0.4120 0.8700  1 Pr 3.31, 2 Tl 3.48-3.59, 5 Ac 3.48-3.56
Tl: 0.4580 0.5880 0.1954  1 Pr 3.31, 2 Tl 3.48-3.59, 5 Ac 3.48-3.56
Tl: 0.6001 0.9062 0.8760  1 Pr 3.31, 5 Ac 3.40-3.50, 1 Tl 3.48
Tl: 0.3061 0.2760 0.3999  1 Pr 3.31, 5 Ac 3.40-3.50, 1 Tl 3.48
Tl: 0.1300 0.7374 0.5420  1 Pr 3.31, 2 Tl 3.48-3.59, 5 Ac 3.48-3.56

Properties
* total magnetization: 0.0 μB per cell
* electronic total energy: -3.46 eV/atom
* N(E_F): 11.542 states/eV/cell

Q: N(E_F) of number 3 (Ac5PrTl8)?
A: 11.542 states/eV/cell

Q: Which value of total magnetization does entry 2 give?
A: 0.0 μB per cell

Q: Among the records above, which one has the highest N(E_F)?
A: Ac5PrTl8

Q: What is the N(E_F) in the third record?
A: 11.542 states/eV/cell